(1)
Material: CuSeO3
Method: DFT, PBE
State: optimized geometry

Summary:
DFT total energy (eV/atom): -5.151
Formation energy without anion corrections (kJ per mole of atoms): -64

Cell lengths 5.5169, 9.1693, 7.5787 Å; angles 90.00, 129.30, 90.00 degrees
Closest atoms and distances in Å follow each position.
Fractional coordinates of all 20 atoms:
Cu 0.1047 0.0121 0.3502  4 O 1.91-1.98
Cu 0.1047 0.4879 0.8502  4 O 1.91-1.98
Cu 0.8953 0.5121 0.1498  4 O 1.91-1.98
Cu 0.8953 0.9879 0.6498  4 O 1.91-1.98
Se 0.2904 0.7069 0.5993  3 O 1.72-1.82
Se 0.2904 0.7931 0.0993  3 O 1.72-1.82
Se 0.7096 0.2069 0.9007  3 O 1.72-1.82
Se 0.7096 0.2931 0.4007  3 O 1.72-1.82
O 0.0633 0.1363 0.1303  1 Se 1.72, 1 Cu 1.91
O 0.0633 0.3637 0.6303  1 Se 1.72, 1 Cu 1.91
O 0.1526 0.6096 0.0863  1 Se 1.82, 2 Cu 1.98
O 0.1526 0.8904 0.5863  1 Se 1.82, 2 Cu 1.98
O 0.3426 0.6377 0.8351  1 Se 1.74
O 0.3426 0.8623 0.3351  1 Se 1.74
O 0.6574 0.1377 0.6649  1 Se 1.74
O 0.6574 0.3623 0.1649  1 Se 1.74
O 0.8474 0.1096 0.4137  1 Se 1.82, 2 Cu 1.98
O 0.8474 0.3904 0.9137  1 Se 1.82, 2 Cu 1.98
O 0.9367 0.6363 0.3697  1 Se 1.72, 1 Cu 1.91
O 0.9367 0.8637 0.8697  1 Se 1.72, 1 Cu 1.91


(2)
Material: Cu2SeO4
Method: DFT, PBE
State: optimized geometry

Summary:
Relative energy among the computed polymorphs (meV per atom): 2
DFT total energy (eV/atom): -5.135
Formation energy without anion corrections (kJ per mole of atoms): -61

Cell lengths 7.0826, 6.0663, 10.9544 Å; angles 90.00, 128.49, 90.00 degrees
Closest atoms and distances in Å follow each position.
Fractional coordinates of all 28 atoms:
Cu 0.0000 0.0000 0.0000  4 O 1.96-1.97
Cu 0.0000 0.5000 0.5000  4 O 1.96-1.97
Cu 0.0065 0.2020 0.2566  4 O 1.97-2.05
Cu 0.0065 0.2980 0.7566  4 O 1.97-2.05
Cu 0.5000 0.0000 0.0000  4 O 1.93-2.00
Cu 0.5000 0.5000 0.5000  4 O 1.93-2.00
Cu 0.9935 0.7020 0.2434  4 O 1.97-2.05
Cu 0.9935 0.7980 0.7434  4 O 1.97-2.05
Se 0.3337 0.5809 0.0966  3 O 1.73-1.77
Se 0.3337 0.9191 0.5966  3 O 1.73-1.77
Se 0.6663 0.0809 0.4034  3 O 1.73-1.77
Se 0.6663 0.4191 0.9034  3 O 1.73-1.77
O 0.0830 0.5643 0.8964  1 Se 1.77, 1 Cu 1.97
O 0.0830 0.9357 0.3964  1 Se 1.77, 1 Cu 1.97
O 0.1515 0.0390 0.8999  4 Cu 1.97-2.00
O 0.1515 0.4610 0.3999  4 Cu 1.97-2.00
O 0.2388 0.7114 0.6557  1 Se 1.73
O 0.2388 0.7886 0.1557  1 Se 1.73
O 0.4527 0.2171 0.4039  1 Se 1.73, 1 Cu 1.93
O 0.4527 0.2829 0.9039  1 Se 1.73, 1 Cu 1.93
O 0.5473 0.7171 0.0961  1 Se 1.73, 1 Cu 1.93
O 0.5473 0.7829 0.5961  1 Se 1.73, 1 Cu 1.93
O 0.7612 0.2114 0.8443  1 Se 1.73
O 0.7612 0.2886 0.3443  1 Se 1.73
O 0.8485 0.5390 0.6001  4 Cu 1.97-2.00
O 0.8485 0.9610 0.1001  4 Cu 1.97-2.00
O 0.9170 0.0643 0.6036  1 Se 1.77, 1 Cu 1.97
O 0.9170 0.4357 0.1036  1 Se 1.77, 1 Cu 1.97


(3)
Material: Cu2SeO4
Method: DFT, PBE
State: optimized geometry

Summary:
Relative energy among the computed polymorphs (meV per atom): 210
DFT total energy (eV/atom): -4.926
Formation energy without anion corrections (kJ per mole of atoms): -41

Cell lengths 5.4695, 5.4695, 5.4695 Å; angles 127.49, 127.49, 77.46 degrees
Closest atoms and distances in Å follow each position.
Fractional coordinates of all 7 atoms:
Cu 0.2500 0.7500 0.5000  4 O 2.05
Cu 0.7500 0.2500 0.5000  4 O 2.05
Se 0.0000 0.0000 0.0000  4 O 1.75
O 0.0831 0.6719 0.0000  1 Se 1.75
O 0.3281 0.3281 0.4112  1 Se 1.75
O 0.6719 0.0831 0.0000  1 Se 1.75
O 0.9169 0.9169 0.5888  1 Se 1.75


(4)
Material: Cu2SeO4
Method: DFT, PBE
State: optimized geometry

Summary:
Relative energy among the computed polymorphs (meV per atom): 0
DFT total energy (eV/atom): -5.137
Formation energy without anion corrections (kJ per mole of atoms): -61

Cell lengths 9.0530, 9.0530, 9.0530 Å; angles 90.00, 90.00, 90.00 degrees
Closest atoms and distances in Å follow each position.
Fractional coordinates of all 56 atoms:
Cu 0.1164 0.3836 0.6164  5 O 1.92-2.11
Cu 0.1228 0.8746 0.1335  4 O 1.95-2.04
Cu 0.1254 0.6335 0.3772  4 O 1.95-2.04
Cu 0.1335 0.1228 0.8746  4 O 1.95-2.04
Cu 0.3665 0.8772 0.3746  4 O 1.95-2.04
Cu 0.3746 0.3665 0.8772  4 O 1.95-2.04
Cu 0.3772 0.1254 0.6335  4 O 1.95-2.04
Cu 0.3836 0.6164 0.1164  5 O 1.92-2.11
Cu 0.6164 0.1164 0.3836  5 O 1.92-2.11
Cu 0.6228 0.6254 0.8665  4 O 1.95-2.04
Cu 0.6254 0.8665 0.6228  4 O 1.95-2.04
Cu 0.6335 0.3772 0.1254  4 O 1.95-2.04
Cu 0.8665 0.6228 0.6254  4 O 1.95-2.04
Cu 0.8746 0.1335 0.1228  4 O 1.95-2.04
Cu 0.8772 0.3746 0.3665  4 O 1.95-2.04
Cu 0.8836 0.8836 0.8836  5 O 1.92-2.11
Se 0.0437 0.5437 0.9563  3 O 1.75
Se 0.2105 0.2105 0.2105  3 O 1.74
Se 0.2895 0.7895 0.7105  3 O 1.74
Se 0.4563 0.4563 0.4563  3 O 1.75
Se 0.5437 0.9563 0.0437  3 O 1.75
Se 0.7105 0.2895 0.7895  3 O 1.74
Se 0.7895 0.7105 0.2895  3 O 1.74
Se 0.9563 0.0437 0.5437  3 O 1.75
O 0.0089 0.0089 0.0089  4 Cu 1.95-1.97
O 0.0203 0.5353 0.7645  1 Se 1.75
O 0.0305 0.2713 0.1845  1 Se 1.74
O 0.0353 0.7355 0.9797  1 Se 1.75
O 0.1845 0.0305 0.2713  1 Se 1.74
O 0.2287 0.8155 0.5305  1 Se 1.74
O 0.2355 0.5203 0.9647  1 Se 1.75
O 0.2390 0.2610 0.7390  4 Cu 1.92-2.00
O 0.2610 0.7390 0.2390  4 Cu 1.92-2.00
O 0.2645 0.4797 0.4647  1 Se 1.75
O 0.2713 0.1845 0.0305  1 Se 1.74
O 0.3155 0.9695 0.7713  1 Se 1.74
O 0.4647 0.2645 0.4797  1 Se 1.75
O 0.4695 0.7287 0.6845  1 Se 1.74
O 0.4797 0.4647 0.2645  1 Se 1.75
O 0.4911 0.9911 0.5089  4 Cu 1.95-1.97
O 0.5089 0.4911 0.9911  4 Cu 1.95-1.97
O 0.5203 0.9647 0.2355  1 Se 1.75
O 0.5305 0.2287 0.8155  1 Se 1.74
O 0.5353 0.7645 0.0203  1 Se 1.75
O 0.6845 0.4695 0.7287  1 Se 1.74
O 0.7287 0.6845 0.4695  1 Se 1.74
O 0.7355 0.9797 0.0353  1 Se 1.75
O 0.7390 0.2390 0.2610  4 Cu 1.92-2.00
O 0.7610 0.7610 0.7610  4 Cu 1.92-2.00
O 0.7645 0.0203 0.5353  1 Se 1.75
O 0.7713 0.3155 0.9695  1 Se 1.74
O 0.8155 0.5305 0.2287  1 Se 1.74
O 0.9647 0.2355 0.5203  1 Se 1.75
O 0.9695 0.7713 0.3155  1 Se 1.74
O 0.9797 0.0353 0.7355  1 Se 1.75
O 0.9911 0.5089 0.4911  4 Cu 1.95-1.97


(5)
Material: Cu2SeO
Method: DFT, PBE
State: optimized geometry

Summary:
Relative energy among the computed polymorphs (meV per atom): 256
DFT total energy (eV/atom): -4.164
Formation energy without anion corrections (kJ per mole of atoms): -1

Cell lengths 6.3872, 6.3872, 6.3872 Å; angles 33.95, 33.95, 33.95 degrees
Closest atoms and distances in Å follow each position.
Fractional coordinates of all 4 atoms:
Cu 0.0976 0.0976 0.0976  1 O 1.76
Cu 0.9024 0.9024 0.9024  1 O 1.76
Se 0.5000 0.5000 0.5000  6 Cu 2.49
O 0.0000 0.0000 0.0000  2 Cu 1.76


(6)
Material: CuSeO2
Method: DFT, PBE
State: optimized geometry

Summary:
DFT total energy (eV/atom): -4.439
Formation energy without anion corrections (kJ per mole of atoms): -6

Cell lengths 6.6263, 6.6263, 6.6263 Å; angles 143.31, 143.31, 52.86 degrees
Closest atoms and distances in Å follow each position.
Fractional coordinates of all 8 atoms:
Cu 0.0000 0.0000 0.0000  4 O 2.10
Cu 0.7500 0.2500 0.5000  4 O 2.10
Se 0.2500 0.7500 0.5000  4 O 2.08
Se 0.5000 0.5000 0.0000  4 O 2.08
O 0.1287 0.6250 0.0037  2 Se 2.08, 2 Cu 2.10
O 0.3750 0.3787 0.5037  2 Se 2.08, 2 Cu 2.10
O 0.6213 0.1250 0.9963  2 Se 2.08, 2 Cu 2.10
O 0.8750 0.8713 0.4963  2 Se 2.08, 2 Cu 2.10


(7)
Material: CuSeO2
Method: DFT, PBE
State: optimized geometry

Summary:
DFT total energy (eV/atom): -4.477
Formation energy without anion corrections (kJ per mole of atoms): -10

Cell lengths 5.9525, 5.9525, 5.9525 Å; angles 32.97, 32.97, 32.97 degrees
Closest atoms and distances in Å follow each position.
Fractional coordinates of all 4 atoms:
Cu 0.0000 0.0000 0.0000  2 O 1.83
Se 0.5000 0.5000 0.5000  6 O 2.18
O 0.1086 0.1086 0.1086  1 Cu 1.83
O 0.8914 0.8914 0.8914  1 Cu 1.83


(8)
Material: Cu2Se2O7
Method: DFT, PBE
State: optimized geometry

Summary:
DFT total energy (eV/atom): -5.021
Formation energy without anion corrections (kJ per mole of atoms): -47

Cell lengths 5.2490, 10.6734, 5.7298 Å; angles 90.00, 109.70, 90.00 degrees
Closest atoms and distances in Å follow each position.
Fractional coordinates of all 22 atoms:
Cu 0.2170 0.1822 0.3237  4 O 1.95-2.10
Cu 0.2170 0.3178 0.8237  4 O 1.95-2.10
Cu 0.7830 0.6822 0.1763  4 O 1.95-2.10
Cu 0.7830 0.8178 0.6763  4 O 1.95-2.10
Se 0.2950 0.6018 0.6480  3 O 1.69-1.79
Se 0.2950 0.8982 0.1480  3 O 1.69-1.79
Se 0.7050 0.1018 0.8520  3 O 1.69-1.79
Se 0.7050 0.3982 0.3520  3 O 1.69-1.79
O 0.0119 0.7048 0.5213  1 Se 1.79, 1 Cu 1.95
O 0.0119 0.7952 0.0213  1 Se 1.79, 1 Cu 1.95
O 0.1931 0.5058 0.8344  1 Se 1.69
O 0.1931 0.9942 0.3344  1 Se 1.69
O 0.4727 0.2062 0.6582  1 Se 1.75, 1 Cu 1.95
O 0.4727 0.2938 0.1582  1 Se 1.75, 1 Cu 1.95
O 0.5000 0.0000 0.0000  2 Se 1.92
O 0.5000 0.5000 0.5000  2 Se 1.92
O 0.5273 0.7062 0.8418  1 Se 1.75, 1 Cu 1.95
O 0.5273 0.7938 0.3418  1 Se 1.75, 1 Cu 1.95
O 0.8069 0.0058 0.6656  1 Se 1.69
O 0.8069 0.4942 0.1656  1 Se 1.69
O 0.9881 0.2048 0.9787  1 Se 1.79, 1 Cu 1.95
O 0.9881 0.2952 0.4787  1 Se 1.79, 1 Cu 1.95